Entry 1:
A plane-wave DFT calculation with PBE was carried out for a relaxed Ba7NaPt2I2 crystal.

Cell and atoms, written as POSCAR:
```
Ba7NaPt2I2
1.0
16.0264 -3.1864 0.0000
16.0264 3.1864 0.0000
-1.2648 0.0000 6.2500
Ba Na Pt I
7 1 2 2
Cartesian
0.0000 0.0000 0.0000
2.2332 0.0000 3.7069
5.7313 0.0000 1.1633
8.3802 0.0000 4.9542
15.3972 0.0000 3.1243
21.1226 0.0000 4.2865
28.1392 0.0000 2.4590
18.8936 0.0000 0.5753
5.3842 0.0000 4.3463
31.1352 0.0000 3.0670
10.5587 0.0000 2.1434
25.9607 0.0000 5.2698
```

Results
V, Å³/cell: 638

Entry 2:
A plane-wave DFT calculation with PBE was carried out for a relaxed Rb3Ba3NaI8 crystal.

Cell and atoms, written as POSCAR:
```
Rb3Ba3NaI8
1.0
8.4625 -4.8808 0.0000
8.4625 4.8808 0.0000
-5.6519 0.0000 9.0639
Rb Ba Na I
3 3 1 8
Cartesian
0.0000 0.0000 0.0000
4.2312 2.4404 0.0000
4.2312 -2.4404 0.0000
1.4053 2.4404 4.5319
1.4053 -2.4404 4.5319
5.6365 0.0000 4.5319
-2.8259 0.0000 4.5319
-0.1765 0.0000 6.5281
4.3084 2.5868 6.5263
6.9647 2.5868 2.5376
2.8188 0.0000 2.3070
8.4542 0.0000 6.7568
4.3084 -2.5868 6.5263
6.9647 -2.5868 2.5376
11.4496 0.0000 2.5357
```

Results
V, Å³/cell: 749

Entry 3:
A plane-wave DFT calculation with PBE was carried out for a relaxed Rb2BaNaI5 crystal.

Cell and atoms, written as POSCAR:
```
Rb2BaNaI5
1.0
2.5703 -10.6757 0.0000
2.5703 10.6757 0.0000
0.0000 0.0000 16.1405
Rb Ba Na I
4 2 2 10
Cartesian
2.5703 8.6104 8.0702
2.5703 7.9565 2.1502
2.5703 -7.9565 10.2204
2.5703 -8.6104 0.0000
2.5703 6.0772 13.6621
2.5703 -6.0772 5.5919
2.5703 0.6406 4.5058
2.5703 -0.6406 12.5760
2.5703 9.4717 14.1729
2.5703 4.7966 7.9780
2.5703 4.1209 3.3205
2.5703 2.6612 13.2918
2.5703 0.0711 9.6349
2.5703 -0.0711 1.5646
2.5703 -2.6612 5.2216
2.5703 -4.1209 11.3908
2.5703 -4.7966 16.0482
2.5703 -9.4717 6.1026
```

Results
V, Å³/cell: 886

Entry 4:
A plane-wave DFT calculation with PBE was carried out for a relaxed RbBa2NaI5 crystal.

Cell and atoms, written as POSCAR:
```
RbBa2NaI5
1.0
-2.8704 4.2085 8.9038
2.8704 -4.2085 8.9038
2.8704 4.2085 -8.9038
Rb Ba Na I
1 2 1 5
Cartesian
0.0000 0.0000 0.0000
2.8704 0.0000 5.3390
0.0000 4.2085 3.5648
0.0000 0.0000 8.9038
2.8704 2.1289 -2.5560
2.8704 2.1289 2.5560
0.0000 4.2085 0.0000
0.0000 2.0796 6.3477
0.0000 2.0796 11.4598
```

Results
V, Å³/cell: 430

Entry 5:
A plane-wave DFT calculation with PBE was carried out for a relaxed Rb2BaNaI6 crystal.

Cell and atoms, written as POSCAR:
```
Rb2BaNaI6
1.0
0.0000 6.4674 6.4674
6.4674 0.0000 6.4674
6.4674 6.4674 0.0000
Rb Ba Na I
2 1 1 6
Cartesian
3.2337 3.2337 3.2337
9.7011 9.7011 9.7011
0.0000 0.0000 0.0000
6.4674 6.4674 6.4674
6.4674 6.4674 3.3684
6.4674 3.3684 6.4674
9.5663 6.4674 6.4674
3.3684 6.4674 6.4674
6.4674 9.5663 6.4674
6.4674 6.4674 9.5663
```

Results
V, Å³/cell: 541

Entry 6:
A plane-wave DFT calculation with PBE was carried out for a relaxed RbBaNaI4 crystal.

Cell and atoms, written as POSCAR:
```
RbBaNaI4
1.0
8.5730 0.0000 0.0000
0.0000 8.5383 0.0000
-3.0430 0.0000 9.6698
Rb Ba Na I
2 2 2 8
Cartesian
1.8217 2.1346 0.5001
3.7083 6.4037 9.1697
0.1221 2.1346 5.3627
5.4078 6.4037 4.3071
1.2299 6.4037 3.0661
4.3001 2.1346 6.6037
-2.1517 4.3101 7.0155
-2.1517 8.4974 7.0155
3.6523 6.4037 1.3332
2.3166 6.4037 5.8616
3.2133 2.1346 3.8082
1.8777 2.1346 8.3366
7.6816 0.0409 2.6543
7.6816 4.2282 2.6543
```

Results
V, Å³/cell: 708

Entry 7:
A plane-wave DFT calculation with PBE was carried out for a relaxed BaNa2ReI crystal.

Cell and atoms, written as POSCAR:
```
BaNa2ReI
1.0
5.6086 0.0000 0.0000
0.0000 5.6086 0.0000
0.0000 0.0000 6.8210
Ba Na Re I
1 2 1 1
Cartesian
0.0000 0.0000 0.0000
0.0000 2.8043 3.4105
2.8043 0.0000 3.4105
2.8043 2.8043 0.0000
0.0000 0.0000 3.4105
```

Results
V, Å³/cell: 215

Entry 8:
A plane-wave DFT calculation with PBE was carried out for a relaxed Ba6NaRh2I3 crystal.

Cell and atoms, written as POSCAR:
```
Ba6NaRh2I3
1.0
11.0075 -2.3291 0.0000
11.0075 2.3291 0.0000
-2.9451 0.0000 10.2189
Ba Na Rh I
6 1 2 3
Cartesian
-0.1078 0.0000 2.8410
5.7425 0.0000 4.5560
4.5433 0.0000 8.7552
14.5266 0.0000 1.4637
13.3274 0.0000 5.6629
19.1777 0.0000 7.3779
11.0075 0.0000 0.0000
2.7241 0.0000 3.4493
16.3458 0.0000 6.7695
0.9521 0.0000 8.5511
9.5349 0.0000 5.1094
18.1178 0.0000 1.6678
```

Results
V, Å³/cell: 524

Entry 9:
A plane-wave DFT calculation with PBE was carried out for a relaxed Ba2NaRhI crystal.

Cell and atoms, written as POSCAR:
```
Ba2NaRhI
1.0
5.9818 0.0000 0.0000
0.0000 5.9818 0.0000
0.0000 0.0000 5.5269
Ba Na Rh I
2 1 1 1
Cartesian
0.0000 2.9909 0.0000
2.9909 0.0000 0.0000
0.0000 0.0000 2.7635
0.0000 0.0000 0.0000
2.9909 2.9909 2.7635
```

Results
V, Å³/cell: 198

Entry 10:
A plane-wave DFT calculation with PBE was carried out for a relaxed BaNaSb2I crystal.

Cell and atoms, written as POSCAR:
```
BaNaSb2I
1.0
5.5024 0.0000 0.0000
0.0000 5.5024 0.0000
0.0000 0.0000 6.1515
Ba Na Sb I
1 1 2 1
Cartesian
0.0000 0.0000 0.0000
2.7512 2.7512 3.0757
0.0000 2.7512 3.0757
2.7512 0.0000 3.0757
2.7512 2.7512 0.0000
```

Results
V, Å³/cell: 186

Entry 11:
A plane-wave DFT calculation with PBE was carried out for a relaxed BaNaSb2I crystal.

Cell and atoms, written as POSCAR:
```
BaNaSb2I
1.0
6.5711 0.0000 0.0000
0.0000 6.5711 0.0000
0.0000 0.0000 6.6974
Ba Na Sb I
1 1 2 1
Cartesian
0.0000 0.0000 0.0000
3.2856 3.2856 3.3487
0.0000 3.2856 0.0000
3.2856 0.0000 0.0000
0.0000 0.0000 3.3487
```

Results
V, Å³/cell: 289

Entry 12:
A plane-wave DFT calculation with PBE was carried out for a relaxed BaNa2SbI crystal.

Cell and atoms, written as POSCAR:
```
BaNa2SbI
1.0
5.7840 0.0000 0.0000
0.0000 5.7840 0.0000
0.0000 0.0000 6.8512
Ba Na Sb I
1 2 1 1
Cartesian
0.0000 0.0000 0.0000
0.0000 2.8920 3.4256
2.8920 0.0000 3.4256
0.0000 0.0000 3.4256
2.8920 2.8920 0.0000
```

Results
V, Å³/cell: 229

no.,E (eV/atom)
1,-3.221
2,-2.914
3,-2.957
4,-2.965
5,-2.671
6,-2.987
7,-2.821
8,-3.418
9,-3.275
10,-2.877
11,-2.549
12,-2.841